A plane-wave DFT calculation with GGA-PBE was carried out for an optimized crystal structure of Ac2DyHoAs4.

POSCAR file:
```
Ac2DyHoAs4
1.0
4.3330 0.0000 0.0000
0.0000 7.5030 -0.1505
0.0000 2.6381 7.0215
As Ho Ac Dy
4 1 2 1
Cartesian
2.1666 6.1298 1.6973
0.0001 7.4488 5.2163
4.3330 2.6922 1.6548
2.1665 4.0113 5.1738
2.1665 3.7515 -0.0752
2.1665 1.3190 3.5108
0.0000 2.6381 7.0215
0.0000 5.0705 3.4356
```

Calculated values
The crystal system is monoclinic. The calculation puts the density at 7806 kg/m3. Its spin magnetization is 0.00 Bohr magnetons per cell. As for the formation energy from the elements: -141.7 kJ/mol of atoms. The space-group type is P2/m. The value obtained for the total DFT energy (no corrections) is -5.968 eV per atom.